[1]
# TaInPO, relaxed, DFT PBE-GGA
# final energy	-6.853	eV per atom
data_TaInPO
_cell_length_a 4.1267
_cell_length_b 4.1267
_cell_length_c 7.9439
_cell_angle_alpha 90.00
_cell_angle_beta 90.00
_cell_angle_gamma 90.00
_space_group_name_H-M_alt 'P 4/n m m'
_space_group_IT_number 129
loop_
_space_group_symop_operation_xyz
'x,y,z'
'-x,-y,-z'
'-y+1/2,x,z'
'y+1/2,-x,-z'
'-x+1/2,-y+1/2,z'
'x+1/2,y+1/2,-z'
'y,-x+1/2,z'
'-y,x+1/2,-z'
'x+1/2,-y,-z'
'-x+1/2,y,z'
'-y,-x,-z'
'y,x,z'
'-x,y+1/2,-z'
'x,-y+1/2,z'
'y+1/2,x+1/2,-z'
'-y+1/2,-x+1/2,z'
loop_
_atom_site_label
_atom_site_type_symbol
_atom_site_fract_x
_atom_site_fract_y
_atom_site_fract_z
_atom_site_occupancy
Ta1 Ta 0.2500 0.7500 0.0000 1
In1 In 0.2500 0.2500 0.3749 1
P1 P 0.2500 0.2500 0.8095 1
O1 O 0.2500 0.7500 0.5000 1



[2]
# HfCoGe, relaxed, DFT PBE-GGA
# final energy	-7.901	eV per atom
data_HfCoGe
_cell_length_a 6.4796
_cell_length_b 3.9221
_cell_length_c 7.1940
_cell_angle_alpha 90.00
_cell_angle_beta 90.00
_cell_angle_gamma 90.00
_space_group_name_H-M_alt 'P n m a'
_space_group_IT_number 62
_space_group_name_Hall '-P 2ac 2n'
loop_
_atom_site_label
_atom_site_type_symbol
_atom_site_fract_x
_atom_site_fract_y
_atom_site_fract_z
_atom_site_occupancy
Hf1 Hf 0.0082 0.2500 0.1994 1
Co1 Co 0.1446 0.2500 0.5693 1
Ge1 Ge 0.2264 0.7500 0.3937 1



Copy entry 2 word for word.
# HfCoGe, relaxed, DFT PBE-GGA
# final energy	-7.901	eV per atom
data_HfCoGe
_cell_length_a 6.4796
_cell_length_b 3.9221
_cell_length_c 7.1940
_cell_angle_alpha 90.00
_cell_angle_beta 90.00
_cell_angle_gamma 90.00
_space_group_name_H-M_alt 'P n m a'
_space_group_IT_number 62
_space_group_name_Hall '-P 2ac 2n'
loop_
_atom_site_label
_atom_site_type_symbol
_atom_site_fract_x
_atom_site_fract_y
_atom_site_fract_z
_atom_site_occupancy
Hf1 Hf 0.0082 0.2500 0.1994 1
Co1 Co 0.1446 0.2500 0.5693 1
Ge1 Ge 0.2264 0.7500 0.3937 1



The highest final energy belongs to which entry?
TaInPO



Which formula does entry 2 have?
HfCoGe